Entry 1:
Below is MgCdAu2 after structural relaxation, with properties calculated at the PBE level.

Values from the calculation:
Calculated volume ... 158.9 Å³ per cell
Electronic total energy ... -2.625 eV per atom

Unit cell a=4.624 b=4.624 c=8.581 alpha=90.00 beta=90.00 gamma=120.00
Fractional positions:
1 Mg 0.000 0.000 0.000
2 Mg 0.000 0.000 0.500
3 Cd 0.333 0.667 0.250
4 Cd 0.667 0.333 0.750
5 Au 0.333 0.667 0.587
6 Au 0.333 0.667 0.913
7 Au 0.667 0.333 0.087
8 Au 0.667 0.333 0.413

***

Entry 2:
Below is MgNiAsIr after structural relaxation, with properties calculated at the PBE level.

Values from the calculation:
Calculated volume ... 59.4 Å³ per cell
Magnetization ... 0.000 μB per atom
Electronic total energy ... -5.063 eV per atom

Unit cell a=4.380 b=4.380 c=4.380 alpha=60.00 beta=60.00 gamma=60.00
Fractional positions:
1 Mg 0.000 0.000 0.000
2 Ni 0.500 0.500 0.500
3 As 0.250 0.250 0.250
4 Ir 0.750 0.750 0.750

***

Entry 3:
Below is KTm2 after structural relaxation, with properties calculated at the PBE level.

Values from the calculation:
Calculated volume ... 240.0 Å³ per cell
Magnetization ... 0.207 μB per atom
Electronic total energy ... -2.771 eV per atom

Unit cell a=6.975 b=6.975 c=6.975 alpha=60.00 beta=60.00 gamma=60.00
Fractional positions:
1 K 0.125 0.125 0.125
2 K 0.875 0.875 0.875
3 Tm 0.000 0.500 0.500
4 Tm 0.500 0.000 0.500
5 Tm 0.500 0.500 0.000
6 Tm 0.500 0.500 0.500

***

Entry 4:
Below is Re8Ge after structural relaxation, with properties calculated at the PBE level.

Values from the calculation:
Calculated volume ... 170.7 Å³ per cell
Magnetization ... 0.000 μB per atom
Electronic total energy ... -10.351 eV per atom

Unit cell a=8.925 b=8.925 c=2.474 alpha=90.00 beta=90.00 gamma=120.00
Fractional positions:
1 Re 0.170 0.341 0.000
2 Re 0.170 0.830 0.000
3 Re 0.333 0.667 0.000
4 Re 0.341 0.170 0.000
5 Re 0.659 0.830 0.000
6 Re 0.667 0.333 0.000
7 Re 0.830 0.170 0.000
8 Re 0.830 0.659 0.000
9 Ge 0.000 0.000 0.500

***

Entry 5:
Below is HfZn2Co after structural relaxation, with properties calculated at the PBE level.

Values from the calculation:
Calculated volume ... 58.2 Å³ per cell
Magnetization ... 0.004 μB per atom
Electronic total energy ... -4.988 eV per atom

Unit cell a=4.350 b=4.350 c=4.350 alpha=60.00 beta=60.00 gamma=60.00
Fractional positions:
1 Hf 0.000 0.000 0.000
2 Zn 0.250 0.250 0.250
3 Zn 0.750 0.750 0.750
4 Co 0.500 0.500 0.500

***

Entry 6:
Below is BaNaRe after structural relaxation, with properties calculated at the PBE level.

Values from the calculation:
Calculated volume ... 98.0 Å³ per cell
Magnetization ... 0.734 μB per atom
Electronic total energy ... -3.400 eV per atom

Unit cell a=5.175 b=5.175 c=5.175 alpha=60.00 beta=60.00 gamma=60.00
Fractional positions:
1 Ba 0.000 0.000 0.000
2 Na 0.750 0.750 0.750
3 Re 0.250 0.250 0.250